UHgBr2 | PBE | optimized geometry

```
data_UHgBr2
_space_group_name_H-M_alt 'P 1'
_space_group_IT_number 1
_cell_length_a 3.661
_cell_length_b 3.661
_cell_length_c 12.092
_cell_angle_alpha 81.29
_cell_angle_beta 81.29
_cell_angle_gamma 60.00
loop_
_space_group_symop_operation_xyz
'x,y,z'
loop_
_atom_site_label
_atom_site_fract_x
_atom_site_fract_y
_atom_site_fract_z
Hg1 0.000 0.000 0.000
Br1 0.109 0.109 0.672
Br2 0.891 0.891 0.328
U1 0.500 0.500 0.500
```

## Properties
Raw total energy ... -4.469 eV/atom